Density functional theory data (PBE) for a relaxed Tb7PrNd12 crystal.

Summary:
ρ	6.33	g/cm³
DOS(E_F)	52.510	states/eV/cell
DFT formation energy	0.648	eV per atom
energy above the lowest structure with this stoichiometry	11.502	kcal/mol of atoms

a b c (Å): 11.6103 11.6103 11.6103
angles (deg): 90.00 90.00 90.00
Last column: nearest neighbours and their distance in Å.
Space group Im-3 (No. 204)
Unique sites:
Tb  0.0000  0.0000  0.5000 x6  12 Nd 4.06-4.12
Tb  0.2500  0.2500  0.2500 x8  6 Nd 2.90
Pr  0.0000  0.0000  0.0000 x2  12 Nd 4.15
Nd  0.0000  0.2521  0.2537 x24  2 Tb 2.90